1.
Material: PmGa2Ni3
Method: DFT, PBE
State: optimized geometry

Results
The calculation puts the formation energy at -0.458 eV per atom. As for the density of states at the Fermi level: 0.56 states/eV per atom.

Geometry as extended XYZ:
```
12
Lattice="4.686 -3.908 0.000 4.686 3.908 0.000 0.000 0.000 5.195" Properties=species:S:1:pos:R:3 pbc="T T T"
Pm 4.686 2.442 3.896
Pm 4.686 -2.442 1.299
Ga 2.625 0.000 0.000
Ga 2.625 0.000 2.597
Ga 6.747 0.000 0.000
Ga 6.747 0.000 2.597
Ni 3.122 2.182 1.299
Ni 6.250 2.182 1.299
Ni 4.686 0.387 1.299
Ni 4.686 -0.387 3.896
Ni 3.122 -2.182 3.896
Ni 6.250 -2.182 3.896
```

=====

2.
Material: PmGa4Ni8
Method: DFT, PBE
State: optimized geometry

Results
The calculation puts the formation energy at -0.336 eV per atom. As for the density of states at the Fermi level: 0.67 states/eV per atom.

Geometry as extended XYZ:
```
13
Lattice="-4.150 4.150 2.530 4.150 -4.150 2.530 4.150 4.150 -2.530" Properties=species:S:1:pos:R:3 pbc="T T T"
Pm 0.000 0.000 0.000
Ga 2.075 2.075 -1.265
Ga 2.075 -2.075 1.265
Ga -2.075 2.075 1.265
Ga 2.075 2.075 1.265
Ni 2.930 0.000 0.000
Ni 5.370 0.000 0.000
Ni 4.150 2.260 0.000
Ni 0.000 2.930 0.000
Ni 2.260 4.150 0.000
Ni 1.890 0.000 2.530
Ni 0.000 5.370 0.000
Ni 0.000 1.890 2.530
```

=====

3.
Material: Pm2Ga8Ni
Method: DFT, PBE
State: optimized geometry

Results
The calculation puts the formation energy at -0.490 eV per atom. As for the density of states at the Fermi level: 0.38 states/eV per atom.

Geometry as extended XYZ:
```
11
Lattice="4.315 0.000 0.000 0.000 4.315 0.000 0.000 0.000 11.281" Properties=species:S:1:pos:R:3 pbc="T T T"
Pm 0.000 0.000 2.201
Pm 0.000 0.000 9.080
Ga 0.000 2.157 0.000
Ga 0.000 2.157 4.330
Ga 0.000 2.157 6.951
Ga 2.157 0.000 0.000
Ga 2.157 0.000 4.330
Ga 2.157 0.000 6.951
Ga 2.157 2.157 2.177
Ga 2.157 2.157 9.104
Ni 0.000 0.000 5.640
```

=====

4.
Material: PmGa6Ni6
Method: DFT, PBE
State: optimized geometry

Results
The calculation puts the formation energy at -0.463 eV per atom. As for the density of states at the Fermi level: 0.66 states/eV per atom.

Geometry as extended XYZ:
```
13
Lattice="-2.515 4.171 4.364 2.515 -4.171 4.364 2.515 4.171 -4.364" Properties=species:S:1:pos:R:3 pbc="T T T"
Pm 0.000 0.000 0.000
Ga 2.515 0.000 1.654
Ga 0.000 2.869 0.000
Ga 0.000 0.000 3.025
Ga 0.000 0.000 5.703
Ga 0.000 5.473 0.000
Ga 0.000 4.171 2.710
Ni 1.258 2.086 -2.182
Ni 1.258 -2.086 2.182
Ni 2.515 1.994 0.000
Ni -1.258 2.086 2.182
Ni 1.258 2.086 2.182
Ni 0.000 2.178 4.364
```

=====

5.
Material: PmGa4Ni2
Method: DFT, PBE
State: optimized geometry

Results
The calculation puts the formation energy at -0.527 eV per atom. As for the density of states at the Fermi level: 0.47 states/eV per atom.

Geometry as extended XYZ:
```
28
Lattice="17.034 0.000 0.000 0.000 4.199 0.000 0.000 0.000 6.439" Properties=species:S:1:pos:R:3 pbc="T T T"
Pm 2.343 1.050 0.085
Pm 6.174 3.149 3.304
Pm 10.861 1.050 3.134
Pm 14.691 3.149 6.354
Ga 0.577 3.149 5.305
Ga 1.281 1.050 3.223
Ga 3.139 3.149 2.093
Ga 3.340 3.149 4.674
Ga 5.177 1.050 1.454
Ga 5.378 1.050 5.313
Ga 7.236 3.149 0.003
Ga 7.940 1.050 2.086
Ga 9.094 3.149 4.353
Ga 9.798 1.050 6.435
Ga 11.656 3.149 1.126
Ga 11.857 3.149 4.985
Ga 13.694 1.050 1.765
Ga 13.895 1.050 4.346
Ga 15.753 3.149 3.216
Ga 16.457 1.050 1.134
Ni 0.630 3.149 1.647
Ni 3.712 1.050 3.409
Ni 4.805 3.149 0.190
Ni 7.887 1.050 4.866
Ni 9.147 3.149 1.573
Ni 12.229 1.050 6.249
Ni 13.322 3.149 3.029
Ni 16.404 1.050 4.792
```

=====

6.
Material: PmGa5Ni3
Method: DFT, PBE
State: optimized geometry

Results
The calculation puts the formation energy at -0.409 eV per atom. As for the density of states at the Fermi level: 0.44 states/eV per atom.

Geometry as extended XYZ:
```
18
Lattice="1.970 -6.169 0.000 1.970 6.169 0.000 0.000 0.000 12.287" Properties=species:S:1:pos:R:3 pbc="T T T"
Pm 1.970 4.044 9.215
Pm 1.970 -4.044 3.072
Ga 0.000 0.000 0.000
Ga 0.000 0.000 6.143
Ga 1.970 3.631 0.836
Ga 1.970 3.631 5.307
Ga 1.970 0.613 8.011
Ga 1.970 0.613 10.419
Ga 1.970 -0.613 1.868
Ga 1.970 -0.613 4.276
Ga 1.970 -3.631 6.980
Ga 1.970 -3.631 11.451
Ni 1.970 4.610 3.072
Ni 1.970 1.326 0.437
Ni 1.970 1.326 5.707
Ni 1.970 -1.326 6.580
Ni 1.970 -1.326 11.850
Ni 1.970 -4.610 9.215
```

=====

7.
Material: Pm4Ga16Ni3
Method: DFT, PBE
State: optimized geometry

Results
The calculation puts the formation energy at -0.518 eV per atom. As for the density of states at the Fermi level: 0.33 states/eV per atom.

Geometry as extended XYZ:
```
23
Lattice="6.156 0.000 0.000 0.000 6.156 0.000 0.000 0.000 11.196" Properties=species:S:1:pos:R:3 pbc="T T T"
Pm 0.000 3.078 2.171
Pm 0.000 3.078 9.024
Pm 3.078 0.000 2.171
Pm 3.078 0.000 9.024
Ga 0.000 0.000 2.217
Ga 0.000 0.000 8.979
Ga 1.337 1.337 0.000
Ga 1.337 4.819 0.000
Ga 1.514 1.514 4.295
Ga 1.514 1.514 6.901
Ga 1.514 4.642 4.295
Ga 1.514 4.642 6.901
Ga 3.078 3.078 2.532
Ga 3.078 3.078 8.664
Ga 4.642 1.514 4.295
Ga 4.642 1.514 6.901
Ga 4.642 4.642 4.295
Ga 4.642 4.642 6.901
Ga 4.819 1.337 0.000
Ga 4.819 4.819 0.000
Ni 0.000 3.078 5.598
Ni 3.078 0.000 5.598
Ni 3.078 3.078 0.000
```

=====

8.
Material: Pm2Ga4Ni
Method: DFT, PBE
State: optimized geometry

Results
The calculation puts the formation energy at -0.307 eV per atom. As for the density of states at the Fermi level: 0.96 states/eV per atom.

Geometry as extended XYZ:
```
7
Lattice="5.916 0.000 0.000 0.000 5.916 0.000 0.000 0.000 4.563" Properties=species:S:1:pos:R:3 pbc="T T T"
Pm 0.000 2.958 0.000
Pm 2.958 0.000 0.000
Ga 1.299 1.299 2.281
Ga 1.299 4.617 2.281
Ga 4.617 1.299 2.281
Ga 4.617 4.617 2.281
Ni 2.958 2.958 2.281
```

=====

9.
Material: Pm4GaNi3
Method: DFT, PBE
State: optimized geometry

Results
The calculation puts the formation energy at -0.392 eV per atom. As for the density of states at the Fermi level: 0.80 states/eV per atom.

Geometry as extended XYZ:
```
8
Lattice="3.886 0.000 0.000 0.000 4.349 0.000 0.000 0.000 10.713" Properties=species:S:1:pos:R:3 pbc="T T T"
Pm 0.000 0.000 0.000
Pm 0.000 2.174 2.830
Pm 1.943 0.000 5.118
Pm 1.943 2.174 8.274
Ga 0.000 0.000 7.448
Ni 0.000 2.174 5.980
Ni 1.943 0.000 2.145
Ni 1.943 2.174 0.703
```

=====

10.
Material: Pm8GaNi2
Method: DFT, PBE
State: optimized geometry

Results
The calculation puts the formation energy at -0.116 eV per atom. As for the density of states at the Fermi level: 1.17 states/eV per atom.

Geometry as extended XYZ:
```
11
Lattice="4.308 -6.776 0.000 4.308 6.776 0.000 -1.494 0.000 5.325" Properties=species:S:1:pos:R:3 pbc="T T T"
Pm 0.000 0.000 0.000
Pm 0.618 1.707 3.266
Pm 3.040 3.239 0.997
Pm 0.618 -1.707 3.266
Pm 3.957 1.705 4.059
Pm 3.040 -3.239 0.997
Pm 3.957 -1.705 4.059
Pm 6.071 0.000 1.996
Ga 3.042 0.000 0.984
Ni 2.286 4.062 3.657
Ni 2.286 -4.062 3.657
```

=====

11.
Material: Pm2GaNi3
Method: DFT, PBE
State: optimized geometry

Results
The calculation puts the formation energy at -0.420 eV per atom. As for the density of states at the Fermi level: 0.75 states/eV per atom.

Geometry as extended XYZ:
```
12
Lattice="0.000 4.189 7.131 3.850 0.000 7.131 3.850 4.189 0.000" Properties=species:S:1:pos:R:3 pbc="T T T"
Pm 5.823 4.189 7.131
Pm 1.925 2.095 3.566
Pm 5.775 6.284 10.697
Pm 1.877 4.189 7.131
Ga 3.850 4.189 4.755
Ga 3.850 4.189 9.507
Ni 3.850 4.189 2.350
Ni 3.850 2.095 5.941
Ni 3.850 2.095 8.321
Ni 3.850 6.284 5.941
Ni 3.850 6.284 8.321
Ni 3.850 4.189 11.912
```

=====

12.
Material: PmGa4Ni3
Method: DFT, PBE
State: optimized geometry

Results
The calculation puts the formation energy at -0.332 eV per atom. As for the density of states at the Fermi level: 0.68 states/eV per atom.

Geometry as extended XYZ:
```
16
Lattice="8.432 0.000 0.000 0.000 6.881 0.000 0.000 0.000 4.395" Properties=species:S:1:pos:R:3 pbc="T T T"
Pm 0.000 0.000 0.000
Pm 4.216 0.000 0.000
Ga 0.000 2.081 2.197
Ga 0.000 4.800 2.197
Ga 2.108 2.080 0.490
Ga 2.108 4.800 0.490
Ga 4.216 2.081 2.197
Ga 4.216 4.800 2.197
Ga 6.324 2.080 3.904
Ga 6.324 4.800 3.904
Ni 0.000 3.440 0.000
Ni 2.108 0.000 2.001
Ni 2.108 3.440 2.814
Ni 4.216 3.440 0.000
Ni 6.324 0.000 2.393
Ni 6.324 3.440 1.581
```